(1)
{"formula": "Al2ZnAg", "functional": "SCAN", "state": "single point on PBEsol structure", "cell": [[-2.246, -0.791, 1.528], [1.609, -1.856, 1.404], [1.710, 5.559, 5.389]], "species": ["Zn", "Al", "Al", "Ag"], "fractional_positions": [[0.500, 0.500, 0.000], [0.000, 0.000, 0.754], [0.000, 0.000, 0.246], [0.500, 0.500, 0.500]], "sg": "P4/mmm"}


(2)
{"formula": "Al2ZnAg", "functional": "SCAN", "state": "single point on PBEsol structure", "cell": [[-0.811, 1.254, 2.289], [3.713, -1.985, 2.404], [1.339, 4.222, -3.471]], "species": ["Al", "Al", "Ag", "Zn"], "fractional_positions": [[0.748, 0.748, 0.497], [0.252, 0.252, 0.503], [0.000, 0.500, 0.000], [0.500, 0.000, 0.000]], "sg": "Immm"}


(3)
{"formula": "AlZnAg2", "functional": "SCAN", "state": "single point on PBEsol structure", "cell": [[-0.230, -0.411, -3.088], [-4.183, -1.093, 0.457], [-1.208, 4.419, -0.498]], "species": ["Ag", "Zn", "Al", "Ag"], "fractional_positions": [[0.000, 0.000, 0.000], [0.000, 0.500, 0.500], [0.500, 0.500, 0.000], [0.500, 0.000, 0.500]], "sg": "Pmmm"}


(4)
{"formula": "Al2ZnAg", "functional": "SCAN", "state": "single point on PBEsol structure", "cell": [[-0.477, 2.828, -0.470], [-1.895, 0.834, -2.039], [-7.134, 1.172, 4.956]], "species": ["Ag", "Al", "Al", "Zn"], "fractional_positions": [[0.249, 0.249, 0.252], [0.000, 0.000, 0.002], [0.752, 0.752, 0.745], [0.500, 0.500, 0.502]], "sg": "Cm"}


(5)
{"formula": "AlZn2Ag", "functional": "SCAN", "state": "single point on PBEsol structure", "cell": [[2.770, 0.000, 0.000], [0.000, 4.688, 0.000], [-1.385, -2.344, 4.738]], "species": ["Al", "Ag", "Zn", "Zn"], "fractional_positions": [[0.251, 0.751, 0.501], [0.498, 0.498, 0.995], [0.748, 0.248, 0.495], [0.004, 0.004, 0.008]], "sg": "Imm2"}


(6)
{"formula": "Al2ZnAg", "functional": "SCAN", "state": "single point on PBEsol structure", "cell": [[2.793, 0.020, 0.000], [-0.279, 4.770, 0.000], [0.000, 0.000, 4.866]], "species": ["Ag", "Zn", "Al", "Al"], "fractional_positions": [[0.500, 0.500, 0.500], [0.000, 0.000, 0.500], [0.248, 0.249, 0.000], [0.752, 0.751, 0.000]], "sg": "P2/m"}


(7)
{"formula": "AlZnAg2", "functional": "SCAN", "state": "single point on PBEsol structure", "cell": [[4.465, 0.000, 0.000], [2.232, 3.867, 0.000], [2.232, 1.289, 3.646]], "species": ["Al", "Zn", "Ag", "Ag"], "fractional_positions": [[0.500, 0.500, 0.500], [0.750, 0.750, 0.750], [0.250, 0.250, 0.250], [0.000, 0.000, 0.000]], "sg": "F-43m"}


(8)
{"formula": "AlZnAg2", "functional": "SCAN", "state": "single point on PBEsol structure", "cell": [[2.881, 0.000, 0.000], [1.441, 2.495, 0.000], [1.441, 0.832, 8.799]], "species": ["Zn", "Ag", "Ag", "Al"], "fractional_positions": [[0.249, 0.249, 0.252], [0.752, 0.752, 0.743], [0.997, 0.997, 0.009], [0.501, 0.501, 0.497]], "sg": "R3m"}


(9)
{"formula": "AlZn4Ag", "functional": "SCAN", "state": "single point on PBEsol structure", "cell": [[-3.218, -1.063, -3.714], [-2.397, -4.419, -0.061], [-4.937, -0.195, 0.930]], "species": ["Zn", "Al", "Zn", "Zn", "Zn", "Ag"], "fractional_positions": [[0.375, 0.375, 0.375], [0.000, 0.000, 0.000], [0.375, 0.375, 0.875], [0.375, 0.875, 0.375], [0.875, 0.375, 0.375], [0.750, 0.750, 0.750]], "sg": "F-43m"}


(10)
{"formula": "Al2ZnAg", "functional": "SCAN", "state": "single point on PBEsol structure", "cell": [[-0.769, 2.464, 0.855], [-4.364, -0.744, -1.781], [1.129, -2.813, 4.799]], "species": ["Al", "Zn", "Al", "Ag"], "fractional_positions": [[0.994, 0.994, 0.987], [0.503, 0.503, 0.007], [0.757, 0.257, 0.514], [0.246, 0.746, 0.492]], "sg": "Imm2"}


(11)
{"formula": "AlZnAg2", "functional": "SCAN", "state": "single point on PBEsol structure", "cell": [[2.921, 0.000, 0.000], [0.000, 4.682, -0.531], [-1.461, -1.684, 4.726]], "species": ["Ag", "Zn", "Ag", "Al"], "fractional_positions": [[0.998, 0.922, 0.996], [0.249, 0.824, 0.499], [0.752, 0.327, 0.504], [0.501, 0.427, 0.002]], "sg": "Cm"}


(12)
{"formula": "AlZn2Ag", "functional": "SCAN", "state": "single point on PBEsol structure", "cell": [[3.353, 0.000, 0.000], [0.000, 3.353, 0.000], [0.000, 0.000, 5.406]], "species": ["Zn", "Zn", "Al", "Ag"], "fractional_positions": [[0.000, 0.000, 0.254], [0.000, 0.000, 0.746], [0.500, 0.500, 0.500], [0.500, 0.500, 0.000]], "sg": "P4/mmm"}


Calculated formation energy values (in eV per atom) by entry order: -0.010 0.064 -0.032 -0.039 0.032 0.050 -0.006 -0.026 0.022 0.027 -0.086 -0.031.